# 1
The following is a DFT calculation (GGA-PBE) of an optimized crystal structure of CrAgTe.

abc: 6.472 6.472 6.472
angles: 90.00 90.00 90.00
Space group F-43m (No. 216)
Inequivalent atoms, fractional coordinates:
Cr: 0.000 0.000 0.000 [4 per cell]
Ag: 0.250 0.250 0.250 [4 per cell]
Te: 0.250 0.250 0.750 [4 per cell]

Output
E_form (uncorrected) = 0.181 eV per atom
VASP energy = -5.025 eV per atom
calculated volume = 22.6 Å³ per atom
D(E_F) = 7.336 states/eV/cell

---

# 2
The following is a DFT calculation (GGA-PBE) of an optimized crystal structure of ZnFeTeN2.

abc: 3.684 3.684 5.532
angles: 90.00 90.00 90.00
Space group P4/mmm (No. 123)
Inequivalent atoms, fractional coordinates:
Zn: 0.000 0.000 0.000 [1 per cell]
Fe: 0.500 0.500 0.500 [1 per cell]
Te: 0.500 0.500 0.000 [1 per cell]
N: 0.000 0.500 0.500 [2 per cell]

Output
E_form (uncorrected) = 0.770 eV per atom
VASP energy = -5.136 eV per atom
calculated volume = 15.0 Å³ per atom
D(E_F) = 2.914 states/eV/cell

---

# 3
The following is a DFT calculation (GGA-PBE) of an optimized crystal structure of AcSnN.

abc: 4.816 4.816 7.720
angles: 90.00 90.00 90.00
Space group I4mm (No. 107)
Inequivalent atoms, fractional coordinates:
Ac: 0.000 0.000 0.000 [2 per cell]
Sn: 0.000 0.000 0.562 [2 per cell]
N: 0.000 0.000 0.300 [2 per cell]

Output
E_form (uncorrected) = 0.039 eV per atom
VASP energy = -5.440 eV per atom
calculated volume = 29.8 Å³ per atom
D(E_F) = 4.364 states/eV/cell

---

# 4
The following is a DFT calculation (GGA-PBE) of an optimized crystal structure of Cs2NaAlSn2.

abc: 7.658 17.668 7.095
angles: 90.00 90.00 90.00
Space group Ibam (No. 72)
Inequivalent atoms, fractional coordinates:
Cs: 0.236 0.170 0.000 [8 per cell]
Na: 0.000 0.000 0.250 [4 per cell]
Al: 0.000 0.500 0.250 [4 per cell]
Sn: 0.205 0.414 0.000 [8 per cell]

Output
VASP energy = -2.604 eV per atom
calculated volume = 40.0 Å³ per atom
D(E_F) = 13.363 states/eV/cell
energy of formation = -141.9 meV per atom

---

# 5
The following is a DFT calculation (GGA-PBE) of an optimized crystal structure of SiHg3I.

abc: 5.257 5.257 5.257
angles: 90.00 90.00 90.00
Space group Pm-3m (No. 221)
Inequivalent atoms, fractional coordinates:
Si: 0.000 0.000 0.000 [1 per cell]
Hg: 0.000 0.000 0.500 [3 per cell]
I: 0.500 0.500 0.500 [1 per cell]

Output
E_form (uncorrected) = 0.006 eV per atom
VASP energy = -1.570 eV per atom
calculated volume = 29.1 Å³ per atom
D(E_F) = 1.141 states/eV/cell

---

# 6
The following is a DFT calculation (GGA-PBE) of an optimized crystal structure of GaNiTe.

abc: 6.157 6.157 6.157
angles: 90.00 90.00 90.00
Space group F-43m (No. 216)
Inequivalent atoms, fractional coordinates:
Ga: 0.000 0.000 0.000 [4 per cell]
Ni: 0.250 0.250 0.750 [4 per cell]
Te: 0.000 0.000 0.500 [4 per cell]

Output
E_form (uncorrected) = -0.155 eV per atom
VASP energy = -4.138 eV per atom
calculated volume = 19.4 Å³ per atom
D(E_F) = 9.247 states/eV/cell

---

# 7
The following is a DFT calculation (GGA-PBE) of an optimized crystal structure of Ce2Ge2Pd3.

abc: 10.425 4.125 6.957
angles: 90.00 112.69 90.00
Space group C2/m (No. 12)
Inequivalent atoms, fractional coordinates:
Ce: 0.135 0.000 0.263 [4 per cell]
Ge: 0.151 0.000 0.717 [4 per cell]
Pd: 0.000 0.500 0.500 [2 per cell]
Pd: 0.120 0.500 0.936 [4 per cell]

Output
VASP energy = -6.043 eV per atom
calculated volume = 19.7 Å³ per atom
D(E_F) = 17.761 states/eV/cell
energy of formation = -803.3 meV per atom

---

# 8
The following is a DFT calculation (GGA-PBE) of an optimized crystal structure of Hg2HIrF.

abc: 5.252 5.252 2.722
angles: 90.00 90.00 90.00
Space group P4/mmm (No. 123)
Inequivalent atoms, fractional coordinates:
Hg: 0.000 0.500 0.000 [2 per cell]
H: 0.000 0.000 0.000 [1 per cell]
Ir: 0.500 0.500 0.500 [1 per cell]
F: 0.000 0.000 0.500 [1 per cell]

Output
VASP energy = -2.925 eV per atom
calculated volume = 15.0 Å³ per atom
D(E_F) = 2.177 states/eV/cell

---

# 9
The following is a DFT calculation (GGA-PBE) of an optimized crystal structure of BeIrRu.

abc: 2.759 3.791 7.069
angles: 89.92 78.80 90.00
Space group P-1 (No. 2)
Inequivalent atoms, fractional coordinates:
Be: 0.040 0.250 0.419 [2 per cell]
Ir: 0.202 0.250 0.094 [2 per cell]
Ru: 0.405 0.251 0.689 [2 per cell]

Output
VASP energy = -7.482 eV per atom
calculated volume = 12.1 Å³ per atom
D(E_F) = 5.085 states/eV/cell
energy of formation = -194.7 meV per atom

---

# 10
The following is a DFT calculation (GGA-PBE) of an optimized crystal structure of Ta2GaSe.

abc: 6.459 6.459 6.459
angles: 90.00 90.00 90.00
Space group Fm-3m (No. 225)
Inequivalent atoms, fractional coordinates:
Ta: 0.250 0.250 0.250 [8 per cell]
Ga: 0.000 0.000 0.000 [4 per cell]
Se: 0.000 0.000 0.500 [4 per cell]

Output
E_form (uncorrected) = 0.046 eV per atom
VASP energy = -7.508 eV per atom
calculated volume = 16.8 Å³ per atom
D(E_F) = 14.602 states/eV/cell

---

# 11
The following is a DFT calculation (GGA-PBE) of an optimized crystal structure of Ba2Na2In15.

abc: 10.7020 10.7020 16.7311
angles: 90.00 90.00 120.00
Space group R-3m (No. 166, hexagonal axes)
Inequivalent atoms, fractional coordinates:
Ba: 0.0000 0.0000 0.1560 [6 per cell]
Na: 0.0000 0.0000 0.3999 [6 per cell]
In: 0.0000 0.2903 0.5000 [18 per cell]
In: 0.0000 0.5000 0.0000 [9 per cell]
In: 0.0073 0.5036 0.6410 [18 per cell]

Output
VASP energy = -2.676 eV per atom
calculated volume = 29.1 Å³ per atom
D(E_F) = 31.358 states/eV/cell
energy of formation = -173.3 meV per atom

---

# 12
The following is a DFT calculation (GGA-PBE) of an optimized crystal structure of Hf4BrO2.

abc: 4.802 4.802 11.710
angles: 90.00 90.00 90.00
Space group I4/mmm (No. 139)
Inequivalent atoms, fractional coordinates:
Hf: 0.000 0.000 0.247 [4 per cell]
Hf: 0.000 0.500 0.000 [4 per cell]
Br: 0.000 0.000 0.000 [2 per cell]
O: 0.000 0.000 0.408 [4 per cell]

Output
E_form (uncorrected) = -0.453 eV per atom
VASP energy = -7.796 eV per atom
calculated volume = 19.3 Å³ per atom
D(E_F) = 8.428 states/eV/cell

---

# 13
The following is a DFT calculation (GGA-PBE) of an optimized crystal structure of MgNiPt2.

abc: 2.7900 2.7900 26.3652
angles: 90.00 90.00 120.00
Space group R3m (No. 160, hexagonal axes)
Inequivalent atoms, fractional coordinates:
Mg: 0.0000 0.0000 0.0000 [3 per cell]
Ni: 0.0000 0.0000 0.2536 [3 per cell]
Pt: 0.0000 0.0000 0.5083 [3 per cell]
Pt: 0.0000 0.0000 0.7496 [3 per cell]

Output
VASP energy = -5.061 eV per atom
calculated volume = 14.8 Å³ per atom
D(E_F) = 12.719 states/eV/cell
energy of formation = -196.2 meV per atom

---

# 14
The following is a DFT calculation (GGA-PBE) of an optimized crystal structure of Nd6InGe2Te3.

abc: 19.497 4.396 9.024
angles: 90.00 104.78 90.00
Space group C2/m (No. 12)
Inequivalent atoms, fractional coordinates:
Nd: 0.007 0.000 0.257 [4 per cell]
Nd: 0.169 0.500 0.102 [4 per cell]
Nd: 0.173 0.500 0.568 [4 per cell]
In: 0.000 0.500 0.000 [2 per cell]
Ge: 0.167 0.000 0.333 [4 per cell]
Te: 0.000 0.500 0.500 [2 per cell]
Te: 0.165 0.000 0.831 [4 per cell]

Output
E_form (uncorrected) = -1.094 eV per atom
VASP energy = -5.261 eV per atom
calculated volume = 31.2 Å³ per atom
D(E_F) = 13.518 states/eV/cell

---

# 15
The following is a DFT calculation (GGA-PBE) of an optimized crystal structure of LiTh3Te4.

abc: 4.449 4.449 12.457
angles: 90.00 90.00 90.00
Space group P4/mmm (No. 123)
Inequivalent atoms, fractional coordinates:
Li: 0.000 0.000 0.000 [1 per cell]
Th: 0.000 0.000 0.500 [1 per cell]
Th: 0.500 0.500 0.251 [2 per cell]
Te: 0.000 0.000 0.238 [2 per cell]
Te: 0.500 0.500 0.000 [1 per cell]
Te: 0.500 0.500 0.500 [1 per cell]

Output
E_form (uncorrected) = -1.048 eV per atom
VASP energy = -5.640 eV per atom
calculated volume = 30.8 Å³ per atom
D(E_F) = 6.455 states/eV/cell

---

# 16
The following is a DFT calculation (GGA-PBE) of an optimized crystal structure of BeNiS3.

abc: 4.392 4.392 4.392
angles: 90.00 90.00 90.00
Space group Pm-3m (No. 221)
Inequivalent atoms, fractional coordinates:
Be: 0.000 0.000 0.000 [1 per cell]
Ni: 0.500 0.500 0.500 [1 per cell]
S: 0.000 0.500 0.500 [3 per cell]

Output
E_form (uncorrected) = 0.759 eV per atom
VASP energy = -3.619 eV per atom
calculated volume = 16.9 Å³ per atom
D(E_F) = 4.289 states/eV/cell

---

# 17
The following is a DFT calculation (GGA-PBE) of an optimized crystal structure of BeCd2InAs.

abc: 5.454 5.454 4.520
angles: 90.00 90.00 90.00
Space group P4/mmm (No. 123)
Inequivalent atoms, fractional coordinates:
Be: 0.000 0.000 0.000 [1 per cell]
Cd: 0.000 0.500 0.500 [2 per cell]
In: 0.000 0.000 0.500 [1 per cell]
As: 0.500 0.500 0.000 [1 per cell]

Output
VASP energy = -1.748 eV per atom
calculated volume = 26.9 Å³ per atom
D(E_F) = 4.096 states/eV/cell
energy of formation = 841.0 meV per atom

---

# 18
The following is a DFT calculation (GGA-PBE) of an optimized crystal structure of LiHf2Co.

abc: 7.150 7.150 5.697
angles: 90.00 90.00 90.00
Space group I-42d (No. 122)
Inequivalent atoms, fractional coordinates:
Li: 0.000 0.000 0.000 [4 per cell]
Hf: 0.210 0.750 0.625 [8 per cell]
Co: 0.000 0.000 0.500 [4 per cell]

Output
VASP energy = -6.937 eV per atom
calculated volume = 18.2 Å³ per atom
D(E_F) = 5.977 states/eV/cell
energy of formation = 294.6 meV per atom

---

# 19
The following is a DFT calculation (GGA-PBE) of an optimized crystal structure of CaZrReO6.

abc: 5.3814 5.3814 9.9825
angles: 90.00 90.00 120.00
Space group P-31c (No. 163)
Inequivalent atoms, fractional coordinates:
Ca: 0.0000 0.0000 0.0000 [2 per cell]
Zr: 0.3333 0.6667 0.2500 [2 per cell]
Re: 0.3333 0.6667 0.7500 [2 per cell]
O: 0.0246 0.3752 0.6418 [12 per cell]

Output
E_form (uncorrected) = -2.448 eV per atom
VASP energy = -8.309 eV per atom
calculated volume = 13.9 Å³ per atom
D(E_F) = 9.238 states/eV/cell

---

# 20
The following is a DFT calculation (GGA-PBE) of an optimized crystal structure of Ba3AuC.

abc: 5.679 5.679 5.679
angles: 90.00 90.00 90.00
Space group Pm-3m (No. 221)
Inequivalent atoms, fractional coordinates:
Ba: 0.000 0.000 0.500 [3 per cell]
Au: 0.500 0.500 0.500 [1 per cell]
C: 0.000 0.000 0.000 [1 per cell]

Output
VASP energy = -3.419 eV per atom
calculated volume = 36.6 Å³ per atom
D(E_F) = 6.309 states/eV/cell
energy of formation = 235.3 meV per atom

---

# 21
The following is a DFT calculation (GGA-PBE) of an optimized crystal structure of Sn3Cl3O.

abc: 8.000 5.534 9.345
angles: 90.00 103.48 90.00
Space group P2_1/m (No. 11)
Inequivalent atoms, fractional coordinates:
Sn: 0.080 0.250 0.275 [2 per cell]
Sn: 0.234 0.250 0.982 [2 per cell]
Sn: 0.420 0.750 0.656 [2 per cell]
Cl: 0.090 0.750 0.353 [2 per cell]
Cl: 0.350 0.750 0.965 [2 per cell]
Cl: 0.411 0.250 0.578 [2 per cell]
O: 0.323 0.250 0.217 [2 per cell]

Output
E_form (uncorrected) = -0.849 eV per atom
VASP energy = -4.064 eV per atom
calculated volume = 28.7 Å³ per atom
D(E_F) = 4.793 states/eV/cell

---

# 22
The following is a DFT calculation (GGA-PBE) of an optimized crystal structure of KIn2Hg2Pb2.

abc: 5.2900 5.2900 27.3560
angles: 90.00 90.00 120.00
Space group R-3m (No. 166, hexagonal axes)
Inequivalent atoms, fractional coordinates:
K: 0.0000 0.0000 0.0000 [3 per cell]
In: 0.0000 0.0000 0.4316 [6 per cell]
Hg: 0.0000 0.0000 0.2640 [6 per cell]
Pb: 0.0000 0.0000 0.1395 [6 per cell]

Output
VASP energy = -2.168 eV per atom
calculated volume = 31.6 Å³ per atom
D(E_F) = 8.250 states/eV/cell
energy of formation = -83.3 meV per atom

---

# 23
The following is a DFT calculation (GGA-PBE) of an optimized crystal structure of TbYGaIr.

abc: 7.032 7.032 7.032
angles: 90.00 90.00 90.00
Space group F-43m (No. 216)
Inequivalent atoms, fractional coordinates:
Tb: 0.000 0.000 0.000 [4 per cell]
Y: 0.000 0.000 0.500 [4 per cell]
Ga: 0.250 0.250 0.750 [4 per cell]
Ir: 0.250 0.250 0.250 [4 per cell]

Output
VASP energy = -6.415 eV per atom
calculated volume = 21.7 Å³ per atom
D(E_F) = 10.239 states/eV/cell
energy of formation = -669.3 meV per atom

---

# 24
The following is a DFT calculation (GGA-PBE) of an optimized crystal structure of K2Rb2Na2Hg.

abc: 6.427 7.662 8.565
angles: 91.83 90.12 114.60
Space group P-1 (No. 2)
Inequivalent atoms, fractional coordinates:
K: 0.043 0.087 0.282 [2 per cell]
Rb: 0.351 0.702 0.121 [2 per cell]
Na: 0.276 0.554 0.604 [2 per cell]
Hg: 0.500 0.000 0.500 [1 per cell]

Output
VASP energy = -1.065 eV per atom
calculated volume = 54.7 Å³ per atom
D(E_F) = 4.737 states/eV/cell
energy of formation = -55.0 meV per atom

---

# 25
The following is a DFT calculation (GGA-PBE) of an optimized crystal structure of P2WCl.

abc: 3.369 4.472 10.164
angles: 90.00 90.00 90.00
Space group Cmmm (No. 65)
Inequivalent atoms, fractional coordinates:
P: 0.000 0.000 0.182 [4 per cell]
W: 0.000 0.500 0.000 [2 per cell]
Cl: 0.000 0.500 0.500 [2 per cell]

Output
E_form (uncorrected) = 0.340 eV per atom
VASP energy = -6.065 eV per atom
calculated volume = 19.1 Å³ per atom
D(E_F) = 4.979 states/eV/cell

---

# 26
The following is a DFT calculation (GGA-PBE) of an optimized crystal structure of Ba3TcP.

abc: 5.610 5.610 5.610
angles: 90.00 90.00 90.00
Space group Pm-3m (No. 221)
Inequivalent atoms, fractional coordinates:
Ba: 0.000 0.000 0.500 [3 per cell]
Tc: 0.000 0.000 0.000 [1 per cell]
P: 0.500 0.500 0.500 [1 per cell]

Output
VASP energy = -3.998 eV per atom
calculated volume = 35.3 Å³ per atom
D(E_F) = 1.773 states/eV/cell
energy of formation = 310.7 meV per atom